# Ba3AlMo | Alexandria via LeMat-Bulk | GGA-PBE | relaxed
data_Ba3AlMo
_chemical_formula_sum 'Ba3 Al1 Mo1'
_symmetry_space_group_name_H-M 'P 1'
_symmetry_Int_Tables_number 1
_cell_length_a 5.9079
_cell_length_b 5.9079
_cell_length_c 5.9079
_cell_angle_alpha 90.00
_cell_angle_beta 90.00
_cell_angle_gamma 90.00
loop_
_symmetry_equiv_pos_as_xyz
'x,y,z'
loop_
_atom_site_label
_atom_site_fract_x
_atom_site_fract_y
_atom_site_fract_z
Ba1 0.0000 0.5000 0.0000
Ba2 0.5000 0.0000 0.0000
Ba3 0.0000 0.0000 0.5000
Al1 0.5000 0.5000 0.5000
Mo1 0.0000 0.0000 0.0000
# - Density of states at the Fermi level: 5.64 states/eV per cell
# - Magnetic moment: 0.00 μB per formula unit
# - Polymorph energy (0 for the lowest one): 0 meV/atom
# - Formation energy: 18.644 kcal/mol of atoms
# - Symmetry: Pm-3m, No. 221
# - Final energy: -3.260 eV/atom
# - Mass density: 4.31 g/cm³

# Ba2AlMo | Alexandria via LeMat-Bulk | GGA-PBE | relaxed
data_Ba2AlMo
_chemical_formula_sum 'Ba2 Al1 Mo1'
_symmetry_space_group_name_H-M 'P 1'
_symmetry_Int_Tables_number 1
_cell_length_a 11.0303
_cell_length_b 11.0303
_cell_length_c 11.0303
_cell_angle_alpha 19.22
_cell_angle_beta 19.22
_cell_angle_gamma 19.22
loop_
_symmetry_equiv_pos_as_xyz
'x,y,z'
loop_
_atom_site_label
_atom_site_fract_x
_atom_site_fract_y
_atom_site_fract_z
Ba1 0.5052 0.5052 0.5052
Ba2 0.9948 0.9948 0.9948
Mo1 0.2500 0.2500 0.2500
Al1 0.7500 0.7500 0.7500
# - Density of states at the Fermi level: 2.83 states/eV per cell
# - Magnetic moment: 2.00 μB per formula unit
# - Formation energy: 23.288 kcal/mol of atoms
# - Symmetry: R-3m, No. 166
# - Final energy: -3.595 eV/atom
# - Mass density: 5.19 g/cm³

# Ba2AlMo | Alexandria via LeMat-Bulk | GGA-PBE | relaxed
data_Ba2AlMo
_chemical_formula_sum 'Ba2 Al1 Mo1'
_symmetry_space_group_name_H-M 'P 1'
_symmetry_Int_Tables_number 1
_cell_length_a 6.6599
_cell_length_b 6.6599
_cell_length_c 6.6599
_cell_angle_alpha 144.51
_cell_angle_beta 130.31
_cell_angle_gamma 62.54
loop_
_symmetry_equiv_pos_as_xyz
'x,y,z'
loop_
_atom_site_label
_atom_site_fract_x
_atom_site_fract_y
_atom_site_fract_z
Ba1 0.7265 0.2265 0.5000
Ba2 0.0243 0.0243 0.0000
Mo1 0.4439 0.4439 0.0000
Al1 0.3052 0.8052 0.5000
# - Density of states at the Fermi level: 3.79 states/eV per cell
# - Magnetic moment: 1.46 μB per formula unit
# - Formation energy: 12.615 kcal/mol of atoms
# - Symmetry: Imm2, No. 44
# - Final energy: -4.058 eV/atom
# - Mass density: 5.10 g/cm³

# BaAl2Mo | Alexandria via LeMat-Bulk | GGA-PBE | relaxed
data_BaAl2Mo
_chemical_formula_sum 'Ba1 Al2 Mo1'
_symmetry_space_group_name_H-M 'P 1'
_symmetry_Int_Tables_number 1
_cell_length_a 10.6017
_cell_length_b 10.6017
_cell_length_c 10.6017
_cell_angle_alpha 16.74
_cell_angle_beta 16.74
_cell_angle_gamma 16.74
loop_
_symmetry_equiv_pos_as_xyz
'x,y,z'
loop_
_atom_site_label
_atom_site_fract_x
_atom_site_fract_y
_atom_site_fract_z
Al1 0.0024 0.0024 0.0024
Al2 0.2636 0.2636 0.2636
Ba1 0.4990 0.4990 0.4990
Mo1 0.7349 0.7349 0.7349
# - Density of states at the Fermi level: 2.35 states/eV per cell
# - Magnetic moment: 0.00 μB per formula unit
# - Polymorph energy (0 for the lowest one): 523 meV/atom
# - Formation energy: 14.450 kcal/mol of atoms
# - Symmetry: R3m, No. 160
# - Final energy: -4.433 eV/atom
# - Mass density: 5.53 g/cm³

- Which of these has the highest mass density?
  BaAl2Mo

- The highest final energy belongs to which entry?
  Ba3AlMo

- density of states at the Fermi level of number 4 (BaAl2Mo)?
  2.35 states/eV per cell

- Among the records above, which one has the highest final energy?
  Ba3AlMo